[1]
# SiSb2Se

A relaxed SiSb2Se crystal (PBE, Alexandria via LeMat-Bulk).

POSCAR file:
```
SiSb2Se
1.0
3.616 0.000 0.000
0.000 5.705 0.000
0.000 0.000 4.596
Sb Se Si
2 1 1
direct
0.000 0.000 0.000 Sb
0.500 0.500 0.000 Sb
0.500 0.000 0.500 Se
0.000 0.500 0.500 Si
```

total moment = 0.0000 μB/atom
total DFT energy (no corrections) = -3.888 eV per atom
distance to the lowest polymorph of the same formula = 318.9 meV per atom

=====

[2]
# Na2As3O8

A relaxed Na2As3O8 crystal (PBE, Alexandria via LeMat-Bulk).

POSCAR file:
```
Na2As3O8
1.0
4.779 -0.110 -1.176
-0.490 5.506 -2.503
-0.343 -0.424 6.489
O As Na
8 3 2
direct
0.037 0.399 0.798 O
0.891 0.097 0.194 O
0.391 0.309 0.186 O
0.609 0.124 0.814 O
0.963 0.601 0.202 O
0.109 0.903 0.806 O
0.391 0.876 0.186 O
0.609 0.691 0.814 O
0.000 0.731 0.000 As
0.500 0.000 0.000 As
0.000 0.269 0.000 As
0.344 0.277 0.554 Na
0.656 0.723 0.446 Na
```

total moment = 0.0000 μB/atom
total DFT energy (no corrections) = -5.631 eV per atom

=====

[3]
# TaBe2Se

A relaxed TaBe2Se crystal (PBE, Alexandria via LeMat-Bulk).

POSCAR file:
```
TaBe2Se
1.0
6.474 0.000 0.000
0.000 6.474 0.000
3.237 3.237 2.678
Be Ta Se
4 2 2
direct
0.375 0.414 0.750 Be
0.164 0.625 0.250 Be
0.586 0.125 0.250 Be
0.875 0.836 0.750 Be
0.750 0.250 0.500 Ta
0.000 0.000 0.000 Ta
0.500 0.500 0.000 Se
0.250 0.750 0.500 Se
```

total moment = 0.0000 μB/atom
total DFT energy (no corrections) = -5.307 eV per atom

=====

[4]
# Cs2CdRu

A relaxed Cs2CdRu crystal (PBE, Alexandria via LeMat-Bulk).

POSCAR file:
```
Cs2CdRu
1.0
-1.307 -3.404 8.272
2.406 7.293 -4.768
-8.794 0.611 -2.003
Cs Ru Cd
4 2 2
direct
0.625 0.375 0.250 Cs
0.625 0.875 0.250 Cs
0.125 0.375 0.750 Cs
0.625 0.375 0.750 Cs
0.750 0.250 0.500 Ru
0.500 0.500 0.000 Ru
0.000 0.000 0.000 Cd
0.250 0.750 0.500 Cd
```

total moment = 0.0010 μB/atom
DFT formation energy = 754 meV/atom
total DFT energy (no corrections) = -2.220 eV per atom
distance to the lowest polymorph of the same formula = 0.0 meV per atom